[1]
Density functional theory data (PBE) for a relaxed NdHfGe crystal.

abc: 4.2347 4.2347 16.2718
angles: 90.00 90.00 90.00
Last column: nearest neighbours and their distance in Å.
Space group I4/mmm (No. 139)
Asymmetric unit:
Nd  0.0000  0.0000  0.1770 (multiplicity 4)  5 Ge 3.13-3.28
Hf  0.0000  0.5000  0.0000 (multiplicity 4)  4 Ge 2.90, 4 Hf 2.99
Ge  0.0000  0.0000  0.3786 (multiplicity 4)  4 Hf 2.90, 4 Nd 3.13

Formation energy   -0.601 eV per atom

[2]
Density functional theory data (PBE) for a relaxed YHSeBr2 crystal.

abc: 5.6169 5.6169 5.6064
angles: 90.00 90.00 90.00
Last column: nearest neighbours and their distance in Å.
Space group P4/mmm (No. 123)
Asymmetric unit:
Y  0.0000  0.0000  0.0000 (multiplicity 1)  2 Se 2.80, 4 Br 2.81
H  0.5000  0.5000  0.5000 (multiplicity 1)  8 Br 3.97, 4 Se 3.97
Se  0.0000  0.0000  0.5000 (multiplicity 1)  2 Y 2.80
Br  0.0000  0.5000  0.0000 (multiplicity 2)  2 Y 2.81

Total energy   -3.880 eV/atom

[3]
Density functional theory data (PBE) for a relaxed Be3BiRu crystal.

abc: 4.5856 4.5856 4.5856
angles: 90.00 90.00 90.00
Last column: nearest neighbours and their distance in Å.
Space group Pm-3m (No. 221)
Asymmetric unit:
Be  0.0000  0.0000  0.5000 (multiplicity 3)  2 Bi 2.29
Bi  0.0000  0.0000  0.0000 (multiplicity 1)  6 Be 2.29
Ru  0.5000  0.5000  0.5000 (multiplicity 1)  12 Be 3.24

Formation energy   1.955 eV per atom

[4]
Density functional theory data (PBE) for a relaxed CsDyO2 crystal.

abc: 3.5593 3.5593 13.7462
angles: 90.00 90.00 120.00
Last column: nearest neighbours and their distance in Å.
Space group P6_3/mmc (No. 194)
Asymmetric unit:
Cs  0.3333  0.6667  0.2500 (multiplicity 2)  6 O 3.09
Dy  0.0000  0.0000  0.0000 (multiplicity 2)  6 O 2.35
O  0.3333  0.6667  0.5823 (multiplicity 4)  3 Dy 2.35

Energy relative to the elements, uncorrected   -10.52 eV/f.u.

[5]
Density functional theory data (PBE) for a relaxed LuPuSnPd crystal.

abc: 7.2662 7.2662 7.2662
angles: 90.00 90.00 90.00
Last column: nearest neighbours and their distance in Å.
Space group F-43m (No. 216)
Asymmetric unit:
Lu  0.0000  0.0000  0.0000 (multiplicity 4)  4 Pd 3.15, 4 Sn 3.15
Pu  0.0000  0.0000  0.5000 (multiplicity 4)  4 Sn 3.15, 4 Pd 3.15
Sn  0.2500  0.2500  0.7500 (multiplicity 4)  4 Pu 3.15, 4 Lu 3.15
Pd  0.2500  0.2500  0.2500 (multiplicity 4)  4 Pu 3.15, 4 Lu 3.15

Formation energy   -0.490 eV per atom

[6]
Density functional theory data (PBE) for a relaxed SbIrRh2 crystal.

abc: 2.9680 2.9680 25.5591
angles: 90.00 90.00 120.00
Last column: nearest neighbours and their distance in Å.
Space group R-3m (No. 166, hexagonal axes)
Asymmetric unit:
Sb  0.0000  0.0000  0.0000 (multiplicity 3)  6 Rh 2.72, 6 Sb 2.97
Ir  0.0000  0.0000  0.5000 (multiplicity 3)  6 Rh 2.74, 6 Ir 2.97
Rh  0.0000  0.0000  0.2506 (multiplicity 6)  3 Sb 2.72, 3 Ir 2.74, 6 Rh 2.97

Energy relative to the elements, uncorrected   0.87 eV/f.u.

[7]
Density functional theory data (PBE) for a relaxed MnHg2P crystal.

abc: 8.9846 8.9846 4.6430
angles: 90.00 90.00 90.00
Last column: nearest neighbours and their distance in Å.
Space group I-42d (No. 122)
Asymmetric unit:
Mn  0.0000  0.0000  0.0000 (multiplicity 4)  2 P 2.32
Hg  0.1575  0.2500  0.6250 (multiplicity 8)  2 P 2.72, 2 Hg 2.86
P  0.0000  0.0000  0.5000 (multiplicity 4)  2 Mn 2.32

Formation energy   0.339 eV per atom

Going through the records in order, we get Fermi-level density of states values of 15.8, 3.8, 5.2, 0.0, 43.2, 19.8, 2.8 states/eV per cell.